Entry 1:
VASP calculation (PBE-GGA) on a relaxed structure of ErTlZnS3.

Values from the calculation:
The symmetry is Pnma, No. 62. The calculation puts the total magnetic moment at 0.00 μB per cell. The calculation puts the distance to the lowest polymorph of the same formula at 0.016 eV per atom.

Cell: 14.504 3.951 10.659 Å, 90.00 90.00 90.00°
Fractional positions:
S1 0.925 0.750 0.614
S2 0.132 0.250 0.752
S3 0.425 0.750 0.886
S4 0.632 0.250 0.748
S5 0.093 0.750 0.077
S6 0.868 0.750 0.248
S7 0.407 0.250 0.577
S8 0.907 0.250 0.923
S9 0.593 0.750 0.423
S10 0.575 0.250 0.114
S11 0.075 0.250 0.386
S12 0.368 0.750 0.252
Tl1 0.743 0.750 0.960
Tl2 0.757 0.250 0.460
Tl3 0.243 0.750 0.540
Tl4 0.257 0.250 0.040
Er1 0.523 0.750 0.655
Er2 0.023 0.750 0.845
Er3 0.477 0.250 0.345
Er4 0.977 0.250 0.155
Zn1 0.018 0.250 0.599
Zn2 0.982 0.750 0.401
Zn3 0.482 0.750 0.099
Zn4 0.518 0.250 0.901

=====

Entry 2:
VASP calculation (PBE-GGA) on a relaxed structure of ErTlZnS3.

Values from the calculation:
The symmetry is Pnma, No. 62. The calculation puts the total magnetic moment at 0.00 μB per cell. The calculation puts the distance to the lowest polymorph of the same formula at 0.000 eV per atom.

Cell: 10.512 3.950 14.241 Å, 90.00 90.00 90.00°
Fractional positions:
S1 0.078 0.250 0.623
S2 0.922 0.750 0.377
S3 0.454 0.250 0.631
S4 0.046 0.750 0.131
S5 0.546 0.750 0.369
S6 0.578 0.250 0.877
S7 0.761 0.750 0.689
S8 0.239 0.250 0.311
S9 0.261 0.750 0.811
S10 0.954 0.250 0.869
S11 0.739 0.250 0.189
S12 0.422 0.750 0.123
Er1 0.487 0.250 0.244
Er2 0.987 0.250 0.256
Er3 0.513 0.750 0.756
Er4 0.013 0.750 0.744
Tl1 0.774 0.750 0.004
Tl2 0.726 0.250 0.504
Tl3 0.274 0.750 0.496
Tl4 0.226 0.250 0.996
Zn1 0.263 0.250 0.711
Zn2 0.737 0.750 0.289
Zn3 0.237 0.750 0.211
Zn4 0.763 0.250 0.789